Entry 1:
First-principles (GGA-PBE) data for a relaxed AgPbSF crystal, as listed in OQMD via LeMat-Bulk.

Calculated values
**Excess energy over the best structure of this formula in the dataset**: 149 meV/atom
**E_tot**: -3.999 eV per atom

Cell and atoms, written as extended XYZ:
```
32
Lattice="-7.839 -2.398 -5.280 8.253 -16.143 -4.921 -1.584 -1.772 3.155" Properties=species:S:1:pos:R:3 pbc="T T T"
Ag -4.157 -2.333 -3.396
Ag -5.313 -4.242 -5.048
Ag 0.420 -6.589 -3.488
Ag 2.951 -7.369 -2.656
Ag -2.536 -11.172 -7.545
Ag -0.005 -11.952 -6.713
Ag 5.727 -14.299 -5.153
Ag 4.571 -16.208 -6.805
F -3.739 -3.554 -1.399
F -7.378 -5.616 -4.383
F -1.733 -7.792 -2.772
F -5.094 -9.769 -5.569
F 3.925 -10.543 -1.477
F 0.564 -12.520 -4.274
F 6.209 -14.696 -2.662
F 2.570 -16.759 -5.646
Pb -1.800 -2.843 -0.027
Pb -3.143 -5.932 -2.436
Pb 1.077 -5.321 0.025
Pb -3.050 -9.262 -4.258
Pb 1.881 -11.050 -2.787
Pb -2.246 -14.992 -7.071
Pb 1.974 -14.380 -4.610
Pb 0.631 -17.470 -7.019
S -6.347 -2.117 -4.374
S 0.124 -4.436 -2.428
S -3.625 -5.968 -5.170
S 1.544 -8.686 -4.102
S -1.129 -9.855 -6.099
S 4.039 -12.573 -5.031
S 0.290 -14.105 -7.773
S 6.762 -16.424 -5.827
```



Entry 2:
First-principles (GGA-PBE) data for a relaxed LaNbSn crystal, as listed in OQMD via LeMat-Bulk.

Calculated values
**Excess energy over the best structure of this formula in the dataset**: 0 meV/atom
**Total moment**: 1.51 μB per cell
**E_tot**: -6.088 eV per atom

Cell and atoms, written as extended XYZ:
```
3
Lattice="0.000 3.545 3.545 3.545 0.000 3.545 3.545 3.545 0.000" Properties=species:S:1:pos:R:3 pbc="T T T"
La 1.772 1.772 1.772
Nb 5.317 5.317 5.317
Sn 0.000 0.000 0.000
```



Entry 3:
First-principles (GGA-PBE) data for a relaxed Ho2Al8Fe crystal, as listed in OQMD via LeMat-Bulk.

Calculated values
**Total moment**: 0.01 μB per cell
**E_tot**: -4.717 eV per atom

Cell and atoms, written as extended XYZ:
```
11
Lattice="4.203 0.000 0.000 0.000 4.203 0.000 0.000 0.000 11.179" Properties=species:S:1:pos:R:3 pbc="T T T"
Al 2.101 0.000 1.288
Al 0.000 2.101 1.288
Al 2.101 2.101 3.430
Al 2.101 0.000 5.589
Al 0.000 2.101 5.589
Al 2.101 2.101 7.749
Al 2.101 0.000 9.891
Al 0.000 2.101 9.891
Fe 0.000 0.000 0.000
Ho 0.000 0.000 3.431
Ho 0.000 0.000 7.747
```



Entry 4:
First-principles (GGA-PBE) data for a relaxed Si2AgOs crystal, as listed in OQMD via LeMat-Bulk.

Calculated values
**Excess energy over the best structure of this formula in the dataset**: 238 meV/atom
**Total moment**: 0.00 μB per cell
**E_tot**: -5.510 eV per atom

Cell and atoms, written as extended XYZ:
```
4
Lattice="0.000 3.119 3.119 3.119 0.000 3.119 3.119 3.119 0.000" Properties=species:S:1:pos:R:3 pbc="T T T"
Ag 4.679 4.679 4.679
Os 0.000 0.000 0.000
Si 1.560 1.560 1.560
Si 3.119 3.119 3.119
```



Entry 5:
First-principles (GGA-PBE) data for a relaxed Sr2TlAg crystal, as listed in OQMD via LeMat-Bulk.

Calculated values
**E_tot**: -2.290 eV per atom

Cell and atoms, written as extended XYZ:
```
4
Lattice="0.000 3.842 3.842 3.842 0.000 3.842 3.842 3.842 0.000" Properties=species:S:1:pos:R:3 pbc="T T T"
Ag 5.763 5.763 5.763
Sr 1.921 1.921 1.921
Sr 3.842 3.842 3.842
Tl 0.000 0.000 0.000
```



Entry 6:
First-principles (GGA-PBE) data for a relaxed NaCd crystal, as listed in OQMD via LeMat-Bulk.

Calculated values
**E_tot**: -0.733 eV per atom

Cell and atoms, written as extended XYZ:
```
2
Lattice="0.000 3.383 3.383 3.383 0.000 3.383 3.383 3.383 0.000" Properties=species:S:1:pos:R:3 pbc="T T T"
Cd 0.000 0.000 0.000
Na 1.692 1.692 1.692
```



Entry 7:
First-principles (GGA-PBE) data for a relaxed Nd2CdIrO6 crystal, as listed in OQMD via LeMat-Bulk.

Calculated values
**Total moment**: 2.01 μB per cell
**E_tot**: -6.985 eV per atom

Cell and atoms, written as extended XYZ:
```
20
Lattice="5.520 0.000 0.000 0.000 5.998 0.000 -5.465 0.000 7.965" Properties=species:S:1:pos:R:3 pbc="T T T"
Cd 0.000 2.999 0.000
Cd -2.733 0.000 3.983
Ir 2.760 0.000 0.000
Ir 0.027 2.999 3.983
Nd 0.159 0.455 1.991
Nd 2.628 3.454 1.991
Nd -2.574 2.544 5.974
Nd -0.105 5.544 5.974
O 1.093 4.925 0.461
O 1.864 1.750 0.542
O 3.485 5.691 1.856
O -0.697 2.692 2.127
O 0.923 4.749 3.440
O 1.694 1.926 3.522
O -1.640 4.072 4.444
O -0.868 1.250 4.525
O 0.752 3.307 5.838
O -3.430 0.307 6.109
O -1.810 4.249 7.423
O -1.038 1.073 7.504
```



Entry 8:
First-principles (GGA-PBE) data for a relaxed Sm2Y2CI3Cl2 crystal, as listed in OQMD via LeMat-Bulk.

Calculated values
**Excess energy over the best structure of this formula in the dataset**: 11 meV/atom
**Total moment**: 0.23 μB per cell
**E_tot**: -5.334 eV per atom

Cell and atoms, written as extended XYZ:
```
10
Lattice="8.844 -1.977 0.000 8.844 1.977 0.000 -1.927 0.000 8.572" Properties=species:S:1:pos:R:3 pbc="T T T"
C 8.844 0.000 0.000
Cl 14.396 0.000 1.140
Cl 1.365 0.000 7.432
I 2.455 0.000 2.877
I 7.881 0.000 4.286
I 13.306 0.000 5.695
Sm 17.254 0.000 1.639
Sm -1.492 0.000 6.933
Y 11.187 0.000 0.563
Y 4.575 0.000 8.009
```



Entry 9:
First-principles (GGA-PBE) data for a relaxed SrAgGeAu crystal, as listed in OQMD via LeMat-Bulk.

Calculated values
**Excess energy over the best structure of this formula in the dataset**: 37 meV/atom
**E_tot**: -3.317 eV per atom

Cell and atoms, written as extended XYZ:
```
4
Lattice="-2.224 -1.849 4.129 -4.194 2.155 1.783 -4.420 -2.395 -0.376" Properties=species:S:1:pos:R:3 pbc="T T T"
Ag 0.000 0.000 0.000
Au -8.129 -1.567 4.152
Ge -2.710 -0.522 1.384
Sr -5.419 -1.045 2.768
```



Entry 10:
First-principles (GGA-PBE) data for a relaxed PmSi2Ir crystal, as listed in OQMD via LeMat-Bulk.

Calculated values
**Total moment**: 0.00 μB per cell
**E_tot**: -7.025 eV per atom

Cell and atoms, written as extended XYZ:
```
16
Lattice="4.946 -6.496 -4.495 2.924 -7.311 4.987 -6.560 5.273 -4.004" Properties=species:S:1:pos:R:3 pbc="T T T"
Ir 2.374 -5.193 -1.979
Ir 4.678 -9.234 -1.835
Ir -3.367 0.700 -1.676
Ir -1.064 -3.340 -1.532
Pm -0.414 -0.314 -2.182
Pm 0.814 -3.455 -4.148
Pm 0.496 -5.078 0.637
Pm -1.200 -0.909 -6.316
Si 3.340 -5.860 0.209
Si 4.530 -7.947 0.283
Si 1.319 -2.936 -1.205
Si 6.056 -11.245 -0.909
Si 2.514 -6.437 -4.041
Si -1.204 -2.096 0.530
Si -4.745 2.712 -2.603
Si -0.009 -5.597 -2.307
```



Entry 11:
First-principles (GGA-PBE) data for a relaxed MgZnFeGe crystal, as listed in OQMD via LeMat-Bulk.

Calculated values
**Excess energy over the best structure of this formula in the dataset**: 0 meV/atom
**Total moment**: 1.44 μB per cell
**E_tot**: -3.801 eV per atom

Cell and atoms, written as extended XYZ:
```
4
Lattice="0.000 3.047 3.047 3.047 0.000 3.047 3.047 3.047 0.000" Properties=species:S:1:pos:R:3 pbc="T T T"
Fe 4.570 4.570 4.570
Ge 0.000 0.000 0.000
Mg 1.523 1.523 1.523
Zn 3.047 3.047 3.047
```



Entry 12:
First-principles (GGA-PBE) data for a relaxed Ho3TmC2S2 crystal, as listed in OQMD via LeMat-Bulk.

Calculated values
**Total moment**: 0.01 μB per cell
**E_tot**: -6.896 eV per atom

Cell and atoms, written as extended XYZ:
```
8
Lattice="-0.287 2.302 2.849 -0.418 -3.615 0.509 12.550 -1.143 2.187" Properties=species:S:1:pos:R:3 pbc="T T T"
C 5.947 -0.242 3.163
C 12.206 -0.812 4.254
Ho 0.919 -1.760 1.515
Ho 4.593 -2.095 2.155
Ho 7.585 -0.691 1.322
S 3.136 -0.286 0.546
S 9.057 -2.501 2.933
Tm 11.248 -1.024 1.960
```



Entry 13:
First-principles (GGA-PBE) data for a relaxed NdAl6Cu6 crystal, as listed in OQMD via LeMat-Bulk.

Calculated values
**Total moment**: 0.00 μB per cell
**E_tot**: -4.157 eV per atom

Cell and atoms, written as extended XYZ:
```
13
Lattice="-2.531 4.320 4.385 2.531 -4.320 4.385 2.531 4.320 -4.385" Properties=species:S:1:pos:R:3 pbc="T T T"
Al 0.000 0.000 3.071
Al 0.000 0.000 5.699
Al 0.000 3.002 0.000
Al 0.000 4.320 2.576
Al 2.531 0.000 1.808
Al 0.000 5.638 0.000
Cu -1.265 2.160 2.192
Cu 1.265 -2.160 2.192
Cu 0.000 2.309 4.385
Cu 1.265 2.160 -2.192
Cu 1.265 2.160 2.192
Cu 2.531 2.011 0.000
Nd 0.000 0.000 0.000
```



Entry 14:
First-principles (GGA-PBE) data for a relaxed CsCoNiTe3 crystal, as listed in OQMD via LeMat-Bulk.

Calculated values
**Total moment**: 2.68 μB per cell
**E_tot**: -4.076 eV per atom

Cell and atoms, written as extended XYZ:
```
12
Lattice="1.970 -8.305 0.000 1.970 8.305 0.000 0.000 0.000 10.804" Properties=species:S:1:pos:R:3 pbc="T T T"
Co 1.970 0.703 2.701
Co 1.970 -0.703 8.103
Cs 1.970 -4.152 2.701
Cs 1.970 4.152 8.103
Ni 0.000 0.000 0.000
Ni 0.000 0.000 5.402
Te 1.970 1.693 0.420
Te 1.970 7.523 2.701
Te 1.970 1.693 4.982
Te 1.970 -1.693 5.822
Te 1.970 -7.523 8.103
Te 1.970 -1.693 10.384
```



Entry 15:
First-principles (GGA-PBE) data for a relaxed Sc5Cu4Ni crystal, as listed in OQMD via LeMat-Bulk.

Calculated values
**Total moment**: 0.00 μB per cell
**Energy relative to the elements**: -0.33 eV/atom
**E_tot**: -5.533 eV per atom

Cell and atoms, written as extended XYZ:
```
10
Lattice="-0.211 2.470 2.060 0.129 -2.056 2.479 16.181 1.235 0.179" Properties=species:S:1:pos:R:3 pbc="T T T"
Cu 3.184 0.243 0.035
Cu 6.463 0.493 0.072
Cu 9.718 0.741 0.108
Cu 12.997 0.992 0.144
Ni 0.000 0.000 0.000
Sc 1.498 0.324 2.287
Sc 4.773 0.574 2.323
Sc 8.050 0.824 2.359
Sc 11.326 1.074 2.396
Sc 14.601 1.324 2.432
```



Entry 16:
First-principles (GGA-PBE) data for a relaxed NaNdCdS3 crystal, as listed in OQMD via LeMat-Bulk.

Calculated values
**Excess energy over the best structure of this formula in the dataset**: 50 meV/atom
**Total moment**: 0.00 μB per cell
**E_tot**: -4.504 eV per atom

Cell and atoms, written as extended XYZ:
```
12
Lattice="-1.640 -5.774 6.500 -1.921 -8.048 3.134 8.638 0.170 -0.835" Properties=species:S:1:pos:R:3 pbc="T T T"
Cd 0.073 -6.997 4.720
Cd 5.004 -6.656 4.079
Na 0.633 -11.974 8.036
Na 4.444 -1.679 0.764
Nd 0.323 -2.427 1.612
Nd 4.754 -11.226 7.187
S 0.000 0.000 0.000
S -0.080 -4.675 3.165
S 0.411 -9.203 6.183
S 2.538 -6.827 4.400
S 4.665 -4.450 2.617
S 5.157 -8.978 5.635
```



Entry 17:
First-principles (GGA-PBE) data for a relaxed ZnGaNO crystal, as listed in OQMD via LeMat-Bulk.

Calculated values
**Excess energy over the best structure of this formula in the dataset**: 27 meV/atom
**E_tot**: -5.322 eV per atom

Cell and atoms, written as extended XYZ:
```
8
Lattice="1.972 1.874 -1.717 3.016 0.700 4.227 3.036 -4.497 -1.422" Properties=species:S:1:pos:R:3 pbc="T T T"
Ga 4.505 0.860 3.099
Ga 4.990 -2.441 0.052
N 3.638 -0.809 3.294
N 3.236 -2.797 0.663
O 2.552 0.507 0.470
O 6.169 -2.268 1.595
Zn 2.585 -1.203 1.655
Zn 2.008 -2.932 -0.894
```



Entry 18:
First-principles (GGA-PBE) data for a relaxed LiGdHgTe3 crystal, as listed in OQMD via LeMat-Bulk.

Calculated values
**Excess energy over the best structure of this formula in the dataset**: 6 meV/atom
**Total moment**: 0.00 μB per cell
**E_tot**: -3.529 eV per atom

Cell and atoms, written as extended XYZ:
```
24
Lattice="-6.657 -8.028 7.405 3.687 -1.959 1.191 1.223 8.712 10.544" Properties=species:S:1:pos:R:3 pbc="T T T"
Gd -4.433 -4.911 5.646
Gd 1.203 1.433 6.544
Gd -4.795 -1.729 12.000
Gd 0.842 4.616 12.899
Hg -1.625 -0.288 4.556
Hg -3.063 -4.949 9.257
Hg -0.528 4.654 9.288
Hg -1.967 -0.008 13.988
Li 0.077 0.923 1.279
Li -1.077 -1.712 8.431
Li -2.514 1.417 10.114
Li -3.669 -1.219 17.266
Te -3.781 -7.284 7.638
Te -2.721 -2.746 3.908
Te 1.220 -0.120 3.938
Te -3.885 -2.677 7.624
Te -3.776 -4.673 11.917
Te -1.846 0.915 7.219
Te -1.745 -1.210 11.325
Te 0.185 4.377 6.627
Te 0.293 2.381 10.921
Te -4.812 -0.176 14.607
Te -0.870 2.450 14.637
Te 0.190 6.988 10.907
```



Entry 19:
First-principles (GGA-PBE) data for a relaxed Ba2CdOsN6 crystal, as listed in OQMD via LeMat-Bulk.

Calculated values
**Total moment**: 0.16 μB per cell
**E_tot**: -6.002 eV per atom

Cell and atoms, written as extended XYZ:
```
10
Lattice="-2.978 2.978 4.218 2.978 -2.978 4.218 2.978 2.978 -4.218" Properties=species:S:1:pos:R:3 pbc="T T T"
Ba 0.000 2.978 2.109
Ba 2.978 0.000 2.109
Cd 0.000 0.000 4.218
N 0.000 0.000 1.939
N 0.000 0.000 6.496
N -1.573 1.644 4.218
N 1.335 1.406 0.000
N 1.644 1.573 4.218
N 4.551 1.335 0.000
Os 0.000 0.000 0.000
```



Entry 20:
First-principles (GGA-PBE) data for a relaxed CoAs2W crystal, as listed in OQMD via LeMat-Bulk.

Calculated values
**Total moment**: 1.02 μB per cell
**E_tot**: -6.713 eV per atom

Cell and atoms, written as extended XYZ:
```
4
Lattice="-2.913 -3.258 0.528 -3.528 0.596 2.565 -4.004 0.314 -1.803" Properties=species:S:1:pos:R:3 pbc="T T T"
As 0.000 0.000 0.000
As -7.834 -1.761 0.967
Co -2.611 -0.587 0.322
W -5.223 -1.174 0.645
```



Entry 21:
First-principles (GGA-PBE) data for a relaxed HfCu crystal, as listed in OQMD via LeMat-Bulk.

Calculated values
**Total moment**: 0.01 μB per cell
**Energy relative to the elements**: 0.18 eV/atom
**E_tot**: -6.657 eV per atom

Cell and atoms, written as extended XYZ:
```
2
Lattice="-1.627 -2.229 1.164 2.282 1.160 1.556 -2.749 2.960 1.827" Properties=species:S:1:pos:R:3 pbc="T T T"
Cu -2.386 1.120 2.665
Hf 0.292 0.770 1.882
```



Entry 22:
First-principles (GGA-PBE) data for a relaxed Zr3AuCN crystal, as listed in OQMD via LeMat-Bulk.

Calculated values
**Total moment**: 0.01 μB per cell
**E_tot**: -8.733 eV per atom

Cell and atoms, written as extended XYZ:
```
12
Lattice="-1.546 -1.258 -2.668 -0.608 -1.257 3.023 -14.458 12.714 2.382" Properties=species:S:1:pos:R:3 pbc="T T T"
Au -3.670 3.228 0.605
Au -10.788 9.486 1.777
C -1.976 -0.330 1.300
C -14.636 10.528 1.437
N -7.143 4.214 2.151
N -9.469 5.984 0.586
Zr 0.000 0.000 0.000
Zr -3.192 0.465 -0.448
Zr -6.554 3.421 0.106
Zr -7.229 6.357 1.191
Zr -10.058 6.777 2.632
Zr -13.419 9.733 3.185
```